First-principles (PBE) data for LiMgBiF6 after structural relaxation, as listed in Alexandria.

## Properties
ρ: 4.962 Mg/m³
M_tot: 0.000 μB per formula unit
Uncorrected formation energy: -26.40 eV/f.u.
D(E_F): 0.0 states/eV per cell
Calculated total energy: -90.0 eV per cell

Lattice parameters (Å, degrees): 5.2459 5.2459 9.9481 90.00 90.00 120.00
Positions (direct):
Li (0.3333, 0.6667, 0.2500)
Li (0.6667, 0.3333, 0.7500)
Mg (0.3333, 0.6667, 0.7500)
Mg (0.6667, 0.3333, 0.2500)
Bi (0.0000, 0.0000, 0.0000)
Bi (0.0000, 0.0000, 0.5000)
F (0.0076, 0.3564, 0.6378)
F (0.0076, 0.6512, 0.8622)
F (0.3488, 0.3564, 0.8622)
F (0.3488, 0.9924, 0.6378)
F (0.3564, 0.0076, 0.1378)
F (0.3564, 0.3488, 0.3622)
F (0.6436, 0.6512, 0.6378)
F (0.6436, 0.9924, 0.8622)
F (0.6512, 0.0076, 0.3622)
F (0.6512, 0.6436, 0.1378)
F (0.9924, 0.3488, 0.1378)
F (0.9924, 0.6436, 0.3622)

First-principles (PBE) data for KPaBi2O8 after structural relaxation, as listed in Alexandria.

## Properties
ρ: 6.445 Mg/m³
M_tot: 0.000 μB per formula unit
Uncorrected formation energy: -17.55 eV/f.u.
D(E_F): 0.9 states/eV per cell
Calculated total energy: -75.6 eV per cell

Lattice parameters (Å, degrees): 6.5047 6.5047 6.5047 106.68 106.68 115.22
Positions (direct):
K (0.0000, 0.0000, 0.0000)
Pa (0.7500, 0.2500, 0.5000)
Bi (0.2500, 0.7500, 0.5000)
Bi (0.5000, 0.5000, 0.0000)
O (0.0304, 0.3570, 0.3267)
O (0.0304, 0.7037, 0.6733)
O (0.1115, 0.3264, 0.7851)
O (0.2963, 0.9696, 0.3267)
O (0.5413, 0.3264, 0.2149)
O (0.6430, 0.9696, 0.6733)
O (0.6736, 0.4587, 0.7851)
O (0.6736, 0.8885, 0.2149)

First-principles (PBE) data for Al2Ga3 after structural relaxation, as listed in Alexandria.

## Properties
ρ: 4.500 Mg/m³
M_tot: 0.000 μB per formula unit
D(E_F): 1.9 states/eV per cell
Energy of formation from the pure elements: 0.08 eV/atom
Calculated total energy: -32.3 eV per cell

Lattice parameters (Å, degrees): 5.9061 5.9061 5.9061 78.01 78.01 78.01
Positions (direct):
Al (0.1139, 0.1139, 0.1139)
Al (0.3861, 0.3861, 0.3861)
Al (0.6139, 0.6139, 0.6139)
Al (0.8861, 0.8861, 0.8861)
Ga (0.0472, 0.7500, 0.4528)
Ga (0.2500, 0.5472, 0.9528)
Ga (0.4528, 0.0472, 0.7500)
Ga (0.5472, 0.9528, 0.2500)
Ga (0.7500, 0.4528, 0.0472)
Ga (0.9528, 0.2500, 0.5472)

First-principles (PBE) data for LaY7Er3 after structural relaxation, as listed in Alexandria.

## Properties
ρ: 5.719 Mg/m³
M_tot: 0.065 μB per formula unit
D(E_F): 18.7 states/eV per cell
Energy of formation from the pure elements: 0.25 eV/atom
Calculated total energy: -61.1 eV per cell

Lattice parameters (Å, degrees): 8.4561 8.4561 8.4561 139.76 97.61 95.98
Positions (direct):
La (0.0000, 0.0000, 0.0000)
Y (0.0000, 0.5000, 0.5000)
Y (0.0993, 0.3043, 0.7951)
Y (0.2958, 0.0000, 0.2958)
Y (0.4908, 0.6957, 0.7951)
Y (0.5092, 0.3043, 0.2049)
Y (0.7042, 0.0000, 0.7042)
Y (0.9007, 0.6957, 0.2049)
Er (0.2945, 0.7945, 0.5000)
Er (0.5000, 0.5000, 0.0000)
Er (0.7055, 0.2055, 0.5000)